1.
Material: CrInP
Method: DFT, PBE
State: optimized geometry

Properties
**Calculated density**: 5.5 Mg/m³
**E_form**: 0.287 eV per atom
**E_tot**: -16.91 eV per cell

a = 4.389 Å, b = 4.389 Å, c = 4.389 Å
α = 60.00°, β = 60.00°, γ = 60.00°
Element x y z (fractional)
Cr (0.750, 0.750, 0.750)
P (0.500, 0.500, 0.500)
In (0.000, 0.000, 0.000)



2.
Material: CrInP2
Method: DFT, PBE
State: optimized geometry

Properties
**Calculated density**: 5.4 Mg/m³
**E_form**: -0.037 eV per atom
**E_tot**: -23.33 eV per cell

a = 4.215 Å, b = 4.215 Å, c = 6.104 Å
α = 73.76°, β = 73.76°, γ = 43.01°
Element x y z (fractional)
Cr (0.470, 0.470, 0.338)
P (0.174, 0.174, 0.365)
P (0.022, 0.022, 0.050)
In (0.834, 0.834, 0.747)



3.
Material: CrInP2
Method: DFT, PBE
State: optimized geometry

Properties
**Calculated density**: 5.3 Mg/m³
**E_form**: 0.385 eV per atom
**E_tot**: -21.64 eV per cell

a = 5.806 Å, b = 5.806 Å, c = 5.806 Å
α = 142.80°, β = 142.80°, γ = 53.62°
Element x y z (fractional)
In (0.750, 0.250, 0.500)
Cr (0.500, 0.500, 0.000)
P (0.250, 0.750, 0.500)
P (0.000, 0.000, 0.000)



4.
Material: CrInP2
Method: DFT, PBE
State: optimized geometry

Properties
**Calculated density**: 5.2 Mg/m³
**E_form**: 0.161 eV per atom
**E_tot**: -22.54 eV per cell

a = 3.303 Å, b = 3.303 Å, c = 6.688 Å
α = 90.00°, β = 90.00°, γ = 90.00°
Element x y z (fractional)
P (0.000, 0.000, 0.996)
P (0.500, 0.500, 0.399)
In (0.500, 0.500, 0.788)
Cr (0.000, 0.000, 0.318)



5.
Material: CrInP2
Method: DFT, PBE
State: optimized geometry

Properties
**Calculated density**: 5.5 Mg/m³
**E_form**: 0.363 eV per atom
**E_tot**: -21.73 eV per cell

a = 4.473 Å, b = 4.473 Å, c = 3.516 Å
α = 90.00°, β = 90.00°, γ = 103.12°
Element x y z (fractional)
P (0.000, 0.000, 0.000)
P (0.500, 0.500, 0.000)
In (0.000, 0.500, 0.500)
Cr (0.500, 0.000, 0.500)



6.
Material: CrIn3P
Method: DFT, PBE
State: optimized geometry

Properties
**Calculated density**: 5.0 Mg/m³
**E_form**: 0.777 eV per atom
**E_tot**: -19.36 eV per cell

a = 5.206 Å, b = 5.206 Å, c = 5.206 Å
α = 90.00°, β = 90.00°, γ = 90.00°
Element x y z (fractional)
Cr (0.000, 0.000, 0.000)
In (0.500, 0.000, 0.000)
In (0.000, 0.500, 0.000)
In (0.000, 0.000, 0.500)
P (0.500, 0.500, 0.500)



7.
Material: CrInP
Method: DFT, PBE
State: optimized geometry

Properties
**Calculated density**: 6.6 Mg/m³
**E_form**: 0.086 eV per atom
**E_tot**: -17.51 eV per cell

a = 3.894 Å, b = 3.894 Å, c = 3.808 Å
α = 90.00°, β = 90.00°, γ = 120.00°
Element x y z (fractional)
P (0.333, 0.667, 0.834)
Cr (0.000, 0.000, 0.833)
In (0.667, 0.333, 0.333)



8.
Material: Cr4InP
Method: DFT, PBE
State: optimized geometry

Properties
**Calculated density**: 7.2 Mg/m³
**E_form**: 0.485 eV per atom
**E_tot**: -43.73 eV per cell

a = 4.873 Å, b = 4.873 Å, c = 4.873 Å
α = 60.00°, β = 60.00°, γ = 60.00°
Element x y z (fractional)
In (0.750, 0.750, 0.750)
P (0.000, 0.000, 0.000)
Cr (0.375, 0.375, 0.375)
Cr (0.375, 0.875, 0.375)
Cr (0.875, 0.375, 0.375)
Cr (0.375, 0.375, 0.875)